## Ba2MgCdH (PBE-GGA)

Data for crystalline Ba2MgCdH at its relaxed geometry.

ΔE to the lowest computed polymorph	0	meV/atom
total energy	-2.183	eV/atom
density of states at the Fermi level	0.61	states/eV per atom
mass density	4.515	g cm⁻³

CIF file:
```
data_Ba2MgCdH
_cell_length_a 5.747
_cell_length_b 5.747
_cell_length_c 4.592
_cell_angle_alpha 90.00
_cell_angle_beta 90.00
_cell_angle_gamma 90.00
_symmetry_space_group_name_H-M 'P 1'
_symmetry_Int_Tables_number 1
loop_
_symmetry_equiv_pos_as_xyz
'x,y,z'
loop_
_atom_site_label
_atom_site_type_symbol
_atom_site_fract_x
_atom_site_fract_y
_atom_site_fract_z
Ba1 Ba 0.000 0.500 0.000
Ba2 Ba 0.500 0.000 0.000
Mg1 Mg 0.000 0.000 0.500
Cd1 Cd 0.500 0.500 0.500
H1 H 0.000 0.000 0.000
```